No. 1
Ba2AsAu | PBE-GGA | relaxed

Its crystal system is tetragonal. The value obtained for the energy of formation from the pure elements is -0.6219 eV per atom.

The structure belongs to space group I-42d (No. 122); the cell edges are 7.1331, 7.1331 and 16.0494 Å and the angles 90.00°, 90.00° and 90.00°. The asymmetric unit holds Ba at (0.2260, 0.2500, 0.1250), As at (0.0000, 0.0000, 0.0000) and Au at (0.0000, 0.0000, 0.5000).

***

No. 2
PmPuPd2 | PBE-GGA | relaxed

Its crystal system is tetragonal. For the energy above the most stable polymorph in this dataset, the calculation gives 0.000 eV per atom. The value obtained for the energy of formation from the pure elements is -0.5770 eV per atom.

The structure belongs to space group P4/mmm (No. 123); the cell edges are 3.5480, 3.5480 and 7.1812 Å and the angles 90.00°, 90.00° and 90.00°. The asymmetric unit holds Pm at (0.0000, 0.0000, 0.0000), Pu at (0.0000, 0.0000, 0.5000) and Pd at (0.5000, 0.5000, 0.2490).

***

No. 3
YTiH3 | PBE-GGA | relaxed

Its crystal system is cubic. For the energy above the most stable polymorph in this dataset, the calculation gives 0.536 eV per atom.

The structure belongs to space group Pm-3m (No. 221); the cell edges are 4.0009, 4.0009 and 4.0009 Å and the angles 90.00°, 90.00° and 90.00°. The asymmetric unit holds Y at (0.0000, 0.0000, 0.0000), Ti at (0.5000, 0.5000, 0.5000) and H at (0.0000, 0.0000, 0.5000).

***

No. 4
BaFeOs | PBE-GGA | relaxed

Its crystal system is hexagonal. For the energy above the most stable polymorph in this dataset, the calculation gives 0.192 eV per atom. The value obtained for the energy of formation from the pure elements is 0.5373 eV per atom.

The structure belongs to space group P6_3/mmc (No. 194); the cell edges are 3.9780, 3.9780 and 10.5986 Å and the angles 90.00°, 90.00° and 120.00°. The asymmetric unit holds Ba at (0.0000, 0.0000, 0.0000), Fe at (0.3333, 0.6667, 0.2500) and Os at (0.3333, 0.6667, 0.7500).

***

No. 5
PuAl4Ir | PBE-GGA | relaxed

Its crystal system is orthorhombic. The value obtained for the energy of formation from the pure elements is -0.5758 eV per atom.

The structure belongs to space group Pmma (No. 51); the cell edges are 7.7027, 4.1277 and 6.8885 Å and the angles 90.00°, 90.00° and 90.00°. The asymmetric unit holds Pu at (0.2500, 0.0000, 0.1259), Al at (0.0000, 0.0000, 0.5000), Al at (0.0623, 0.5000, 0.8114), Al at (0.2500, 0.5000, 0.4508) and Ir at (0.2500, 0.0000, 0.7059).

***

No. 6
LiCdCu2Cl6 | PBE-GGA | relaxed

Its crystal system is monoclinic. The uncorrected energy comes out at -125.06 eV per cell.

The structure belongs to space group C2/c (No. 15); the cell edges are 12.3349, 11.3154 and 6.6029 Å and the angles 90.00°, 100.79° and 90.00°. The asymmetric unit holds Li at (0.0000, 0.2334, 0.2500), Cd at (0.0000, 0.4038, 0.7500), Cu at (0.1735, 0.0835, 0.8013), Cl at (0.1189, 0.4142, 0.1312), Cl at (0.1204, 0.2452, 0.6057) and Cl at (0.1337, 0.0849, 0.1202).

***

No. 7
Pm2Pr2Pd15 | PBE-GGA | relaxed

Its crystal system is trigonal. The value obtained for the energy of formation from the pure elements is -0.5437 eV per atom.

The structure belongs to space group R-3m (No. 166, hexagonal axes); the cell edges are 9.3288, 9.3288 and 14.2184 Å and the angles 90.00°, 90.00° and 120.00°. The asymmetric unit holds Pm at (0.0000, 0.0000, 0.1085), Pr at (0.0000, 0.0000, 0.3622), Pd at (0.0000, 0.3100, 0.0000), Pd at (0.0000, 0.5000, 0.5000) and Pd at (0.0079, 0.5039, 0.1544).

***

No. 8
ReAsW3 | PBE-GGA | relaxed

Its crystal system is cubic. For the energy above the most stable polymorph in this dataset, the calculation gives 0.288 eV per atom. The value obtained for the energy of formation from the pure elements is 2.0777 eV per atom.

The structure belongs to space group Pm-3m (No. 221); the cell edges are 4.7769, 4.7769 and 4.7769 Å and the angles 90.00°, 90.00° and 90.00°. The asymmetric unit holds Re at (0.0000, 0.0000, 0.0000), As at (0.5000, 0.5000, 0.5000) and W at (0.0000, 0.0000, 0.5000).

***

No. 9
AcPm6Sm2 | PBE-GGA | relaxed

Its crystal system is tetragonal. For the energy above the most stable polymorph in this dataset, the calculation gives 0.806 eV per atom. The value obtained for the energy of formation from the pure elements is 0.8221 eV per atom.

The structure belongs to space group P4_2/mnm (No. 136); the cell edges are 6.3446, 6.3446 and 18.2981 Å and the angles 90.00°, 90.00° and 90.00°. The asymmetric unit holds Ac at (0.0000, 0.0000, 0.0000), Pm at (0.1664, 0.1664, 0.5000), Pm at (0.1756, 0.1756, 0.1840) and Sm at (0.0000, 0.0000, 0.3490).

***

No. 10
K6HI2O | PBE-GGA | relaxed

Its crystal system is trigonal. The uncorrected energy comes out at -26.99 eV per cell.

The structure belongs to space group P-3m1 (No. 164); the cell edges are 7.8994, 7.8994 and 7.1207 Å and the angles 90.00°, 90.00° and 120.00°. The asymmetric unit holds K at (0.1496, 0.2991, 0.2254), H at (0.0000, 0.0000, 0.5000), I at (0.3333, 0.6667, 0.8366) and O at (0.0000, 0.0000, 0.0000).

***

No. 11
SrTi2VCr | PBE-GGA | relaxed

Its crystal system is tetragonal. The value obtained for the energy of formation from the pure elements is 2.3724 eV per atom.

The structure belongs to space group P4/mmm (No. 123); the cell edges are 4.6844, 4.6844 and 4.3810 Å and the angles 90.00°, 90.00° and 90.00°. The asymmetric unit holds Sr at (0.0000, 0.0000, 0.0000), Ti at (0.0000, 0.5000, 0.0000), V at (0.5000, 0.5000, 0.5000) and Cr at (0.0000, 0.0000, 0.5000).

***

No. 12
K3CuPb | PBE-GGA | relaxed

Its crystal system is cubic. For the energy above the most stable polymorph in this dataset, the calculation gives 0.000 eV per atom. The value obtained for the energy of formation from the pure elements is 0.3178 eV per atom.

The structure belongs to space group Pm-3m (No. 221); the cell edges are 6.1697, 6.1697 and 6.1697 Å and the angles 90.00°, 90.00° and 90.00°. The asymmetric unit holds K at (0.0000, 0.0000, 0.5000), Cu at (0.0000, 0.0000, 0.0000) and Pb at (0.5000, 0.5000, 0.5000).

***

No. 13
CsCeAg2I8 | PBE-GGA | relaxed

Its crystal system is trigonal. The uncorrected energy comes out at -33.32 eV per cell.

The structure belongs to space group P-3m1 (No. 164); the cell edges are 8.6248, 8.6248 and 10.1381 Å and the angles 90.00°, 90.00° and 120.00°. The asymmetric unit holds Cs at (0.0000, 0.0000, 0.0000), Ce at (0.0000, 0.0000, 0.5000), Ag at (0.3333, 0.6667, 0.1933), I at (0.1616, 0.3233, 0.3206) and I at (0.3333, 0.6667, 0.9281).

***

No. 14
Na2Tl6Ga | PBE-GGA | relaxed

Its crystal system is tetragonal. For the energy above the most stable polymorph in this dataset, the calculation gives 0.000 eV per atom. The value obtained for the energy of formation from the pure elements is -0.0393 eV per atom.

The structure belongs to space group P4_2/mnm (No. 136); the cell edges are 10.2414, 10.2414 and 4.8260 Å and the angles 90.00°, 90.00° and 90.00°. The asymmetric unit holds Na at (0.1916, 0.1916, 0.0000), Tl at (0.0245, 0.3292, 0.5000), Tl at (0.1325, 0.8675, 0.0000) and Ga at (0.0000, 0.0000, 0.5000).

***

No. 15
TiV2NiH | PBE-GGA | relaxed

Its crystal system is tetragonal. The uncorrected energy comes out at -35.85 eV per cell.

The structure belongs to space group P4/mmm (No. 123); the cell edges are 3.6616, 3.6616 and 4.2092 Å and the angles 90.00°, 90.00° and 90.00°. The asymmetric unit holds Ti at (0.0000, 0.0000, 0.0000), V at (0.0000, 0.5000, 0.5000), Ni at (0.5000, 0.5000, 0.0000) and H at (0.0000, 0.0000, 0.5000).

***

No. 16
LiAsSe2F | PBE-GGA | relaxed

Its crystal system is tetragonal. For the energy above the most stable polymorph in this dataset, the calculation gives 0.190 eV per atom.

The structure belongs to space group P4/mmm (No. 123); the cell edges are 4.4557, 4.4557 and 4.6669 Å and the angles 90.00°, 90.00° and 90.00°. The asymmetric unit holds Li at (0.0000, 0.0000, 0.0000), As at (0.0000, 0.0000, 0.5000), Se at (0.0000, 0.5000, 0.0000) and F at (0.5000, 0.5000, 0.5000).

***

No. 17
CsK2AgCl | PBE-GGA | relaxed

Its crystal system is tetragonal. The uncorrected energy comes out at -10.96 eV per cell.

The structure belongs to space group P4/mmm (No. 123); the cell edges are 6.0381, 6.0381 and 6.7461 Å and the angles 90.00°, 90.00° and 90.00°. The asymmetric unit holds Cs at (0.0000, 0.0000, 0.0000), K at (0.0000, 0.5000, 0.5000), Ag at (0.5000, 0.5000, 0.0000) and Cl at (0.0000, 0.0000, 0.5000).

***

No. 18
Nd3Se2S | PBE-GGA | relaxed

Its crystal system is hexagonal. For the energy above the most stable polymorph in this dataset, the calculation gives 0.047 eV per atom.

The structure belongs to space group P6_3/mmc (No. 194); the cell edges are 4.1351, 4.1351 and 21.1376 Å and the angles 90.00°, 90.00° and 120.00°. The asymmetric unit holds Nd at (0.0000, 0.0000, 0.0000), Nd at (0.3333, 0.6667, 0.1659), Se at (0.3333, 0.6667, 0.5838) and S at (0.0000, 0.0000, 0.2500).

***

No. 19
Mg2MnNi2 | PBE-GGA | relaxed

Its crystal system is tetragonal. The value obtained for the energy of formation from the pure elements is 0.3096 eV per atom.

The structure belongs to space group I4/mmm (No. 139); the cell edges are 3.2977, 3.2977 and 14.9830 Å and the angles 90.00°, 90.00° and 90.00°. The asymmetric unit holds Mg at (0.0000, 0.0000, 0.1117), Mn at (0.0000, 0.0000, 0.5000) and Ni at (0.0000, 0.5000, 0.2500).

***

No. 20
Ac2ZnSi3Au4 | PBE-GGA | relaxed

Its crystal system is tetragonal. The uncorrected energy comes out at -44.95 eV per cell.

The structure belongs to space group P-4m2 (No. 115); the cell edges are 4.4912, 4.4912 and 10.4885 Å and the angles 90.00°, 90.00° and 90.00°. The asymmetric unit holds Ac at (0.0000, 0.5000, 0.2472), Zn at (0.0000, 0.0000, 0.5000), Si at (0.0000, 0.5000, 0.8693), Si at (0.5000, 0.5000, 0.5000), Au at (0.0000, 0.0000, 0.0000), Au at (0.0000, 0.5000, 0.6290) and Au at (0.5000, 0.5000, 0.0000).

***

Which magnetic moment belongs to each record? In order, 0.000 1.475 0.478 0.000 0.885 0.108 0.000 0.000 0.000 0.000 0.000 0.215 0.087 0.000 0.000 0.000 0.000 0.000 0.742 0.000 μB/atom.